Below is crystalline Mn4NbB2 at its relaxed geometry, with properties calculated at the PBE level.

abc: 3.3731 3.3246 6.6982
angles: 104.37 90.00 90.00
Positions (direct):
Mn: 0.5000 0.8242 0.6485
Mn: 0.0000 0.6759 0.3517
Mn: 0.5000 0.1758 0.3515
Mn: 0.0000 0.3241 0.6483
Nb: 0.0000 0.0000 0.0000
B: 0.5000 0.5682 0.1363
B: 0.5000 0.4318 0.8637

Computed properties:
E_form	-268	meV per atom
DOS at the Fermi energy	0.879	states/eV per atom
raw total energy	-61.982	eV/cell
mass density	7.6	g/cm3
spin magnetization	4.036	μB/f.u.